4
Lattice="-2.0816 -1.4919 -3.1690 1.2645 -2.6816 0.4318 -6.8091 0.6500 4.1666" Properties=species:S:1:pos:R:3 comment="CuAuSe2 | Alexandria | PBE | relaxed" e_form_raw_ev_per_atom=0.05 crystal_system=monoclinic space_group="No. 6" dft_energy_ev_per_atom=-3.539 dos_ef_per_ev_cell=2.87 pbc="T T T"
Se -2.8405 -1.4549 -0.0686
Se -5.0054 -1.7907 4.1309
Cu -5.1727 -2.2380 1.8320
Au -2.9244 -1.0875 2.4329



4
Lattice="4.5084 -0.4059 0.3912 3.3597 3.0337 0.3912 1.3048 0.4358 6.1046" Properties=species:S:1:pos:R:3 comment="CuAuSe2 | Alexandria | PBE | relaxed" e_form_raw_ev_per_atom=-0.08 crystal_system=monoclinic space_group="No. 12" dft_energy_ev_per_atom=-3.670 dos_ef_per_ev_cell=0.94 pbc="T T T"
Se 7.1325 2.3820 0.8962
Se 5.3220 1.7774 3.3298
Cu 2.2932 0.7659 1.7218
Au 6.8796 2.2976 5.1653



4
Lattice="4.7049 0.0061 -0.0053 1.0643 4.5830 0.0053 -2.8784 -2.3023 2.9241" Properties=species:S:1:pos:R:3 comment="Cu2AuSe | Alexandria | PBE | relaxed" e_form_raw_ev_per_atom=0.16 crystal_system=tetragonal space_group="No. 139" dft_energy_ev_per_atom=-3.576 dos_ef_per_ev_cell=2.01 pbc="T T T"
Cu 5.7671 4.5873 0.0000
Cu 2.8868 2.2963 0.0000
Au 0.5353 2.2876 1.4647
Se 2.3556 -0.0008 1.4594



4
Lattice="-0.7142 1.2529 -4.1855 -2.7156 -0.7860 0.2281 -0.7443 5.0323 1.6334" Properties=species:S:1:pos:R:3 comment="Cu2AuSe | Alexandria | PBE | relaxed" e_form_raw_ev_per_atom=0.08 crystal_system=monoclinic space_group="No. 6" dft_energy_ev_per_atom=-3.661 dos_ef_per_ev_cell=1.10 pbc="T T T"
Au -2.8656 4.2742 -0.5728
Cu -1.3467 4.6584 1.6242
Cu -1.3112 1.7173 -1.6034
Se -1.1251 2.0047 0.7921



4
Lattice="3.5535 0.0000 0.0000 0.0000 3.5535 0.0000 0.0000 0.0000 6.5715" Properties=species:S:1:pos:R:3 comment="CuAuSe2 | Alexandria | PBE | relaxed" e_form_raw_ev_per_atom=0.08 crystal_system=tetragonal space_group="No. 99" dft_energy_ev_per_atom=-3.501 dos_ef_per_ev_cell=3.86 pbc="T T T"
Cu 1.7767 1.7767 6.0796
Se 1.7767 1.7767 1.9942
Se 0.0000 0.0000 5.5132
Au 0.0000 0.0000 2.8417



4
Lattice="2.8324 0.0000 0.0000 0.0000 3.7240 0.0000 0.0000 0.0000 6.3195" Properties=species:S:1:pos:R:3 comment="Cu2AuSe | Alexandria | PBE | relaxed" e_form_raw_ev_per_atom=0.09 crystal_system=orthorhombic space_group="No. 25" dft_energy_ev_per_atom=-3.650 dos_ef_per_ev_cell=1.13 pbc="T T T"
Cu 0.0000 0.0000 0.1654
Cu 1.4162 1.8620 1.4977
Au 1.4162 1.8620 5.1418
Se 0.0000 0.0000 2.6743



8
Lattice="-5.3817 1.9990 -0.9409 -1.6210 -5.2568 -1.8926 2.0042 0.1438 6.8233" Properties=species:S:1:pos:R:3 comment="Cu2SnAuSe4 | Alexandria | PBE | relaxed" e_form_raw_ev_per_atom=-0.21 crystal_system=tetragonal space_group="No. 121" dft_energy_ev_per_atom=-3.891 dos_ef_per_ev_cell=4.78 pbc="T T T"
Sn -3.5017 -1.6292 -1.4156
Se 0.6871 -0.2493 4.6162
Se -2.8476 -1.8938 3.1860
Se -2.9689 -3.8747 -0.1510
Se -4.8680 -0.2106 0.3296
Cu -3.4396 0.2568 2.2336
Cu -1.5593 -3.3712 1.7578
Au -4.9984 -3.1139 3.9893



8
Lattice="3.9024 0.0000 0.0000 0.0000 3.9024 0.0000 0.0000 0.0000 12.2319" Properties=species:S:1:pos:R:3 comment="TlCuAuSe | Alexandria | PBE | relaxed" e_form_raw_ev_per_atom=-0.14 crystal_system=tetragonal space_group="No. 129" dft_energy_ev_per_atom=-3.450 dos_ef_per_ev_cell=3.32 pbc="T T T"
Au 0.9756 2.9268 6.1160
Au 2.9268 0.9756 6.1160
Cu 2.9268 0.9756 0.0000
Cu 0.9756 2.9268 0.0000
Tl 2.9268 2.9268 3.5028
Tl 0.9756 0.9756 8.7291
Se 0.9756 0.9756 1.5308
Se 2.9268 2.9268 10.7011



> Number 3 is which compound?

Cu2AuSe



What did the third record say?
4
Lattice="4.7049 0.0061 -0.0053 1.0643 4.5830 0.0053 -2.8784 -2.3023 2.9241" Properties=species:S:1:pos:R:3 comment="Cu2AuSe | Alexandria | PBE | relaxed" e_form_raw_ev_per_atom=0.16 crystal_system=tetragonal space_group="No. 139" dft_energy_ev_per_atom=-3.576 dos_ef_per_ev_cell=2.01 pbc="T T T"
Cu 5.7671 4.5873 0.0000
Cu 2.8868 2.2963 0.0000
Au 0.5353 2.2876 1.4647
Se 2.3556 -0.0008 1.4594